Entry 1:
{
  "formula": "Li3AgHg3",
  "functional": "PBE",
  "state": "relaxed",
  "lattice_angstrom": [[3.594, 2.075, 6.401], [-3.594, 2.075, 6.401], [0.000, -4.150, 6.401]],
  "species": ["Li", "Li", "Li", "Li", "Li", "Li", "Ag", "Ag", "Hg", "Hg", "Hg", "Hg", "Hg", "Hg"],
  "frac_coords": [[0.052, 0.230, 0.578], [0.230, 0.578, 0.052], [0.422, 0.948, 0.770], [0.578, 0.052, 0.230], [0.770, 0.422, 0.948], [0.948, 0.770, 0.422], [0.170, 0.170, 0.170], [0.830, 0.830, 0.830], [0.191, 0.411, 0.697], [0.303, 0.809, 0.589], [0.411, 0.697, 0.191], [0.589, 0.303, 0.809], [0.697, 0.191, 0.411], [0.809, 0.589, 0.303]],
  "ef_ev_per_atom": -0.200,
  "e_tot_ev_per_atom": -1.56,
  "polymorph_energy_kj_per_mol_atoms": 3.99,
  "space_group": "No. 148"
}

***

Entry 2:
{
  "formula": "Li4AgHg5",
  "functional": "PBE",
  "state": "relaxed",
  "lattice_angstrom": [[3.388, 0.000, 0.000], [0.000, 3.388, 0.000], [0.000, 0.000, 16.451]],
  "species": ["Li", "Li", "Li", "Li", "Ag", "Hg", "Hg", "Hg", "Hg", "Hg"],
  "frac_coords": [[0.000, 0.000, 0.098], [0.000, 0.000, 0.298], [0.000, 0.000, 0.702], [0.000, 0.000, 0.902], [0.000, 0.000, 0.500], [0.500, 0.500, 0.000], [0.500, 0.500, 0.196], [0.500, 0.500, 0.390], [0.500, 0.500, 0.610], [0.500, 0.500, 0.804]],
  "ef_ev_per_atom": -0.294,
  "e_tot_ev_per_atom": -1.50,
  "space_group": "No. 123"
}

***

| no. | density (g cm⁻³) |
| --- | --- |
| 1 | 8.47 |
| 2 | 10.01 |